Compound: Tb5PmNd7
Source: the Alexandria database
Functional: PBE
Structure: optimized geometry

Cell lengths 6.7574, 8.8808, 8.8808 Å; angles 79.90, 67.64, 67.64 degrees
With the nearest neighbours (Å) after each atom.
Element x y z (fractional)
1 Nd 0.4236 0.5764 0.5764  7 Nd 3.63-3.96, 4 Tb 3.82
2 Pm 0.0389 0.9611 0.9611  7 Nd 3.64-3.96, 6 Tb 3.81-4.07
3 Nd 0.2312 0.2688 0.2688  6 Nd 3.38-3.56, 4 Tb 3.46
4 Nd 0.9797 0.3485 0.6921  5 Tb 3.52-3.54, 4 Nd 3.56-3.92, 1 Pm 3.81
5 Nd 0.9797 0.6921 0.3485  5 Tb 3.52-3.54, 4 Nd 3.56-3.92, 1 Pm 3.81
6 Nd 0.7310 0.2690 0.2690  3 Nd 3.38-3.63, 4 Tb 3.56, 1 Pm 3.64
7 Nd 0.4818 0.1898 0.8466  5 Tb 3.51-3.55, 5 Nd 3.55-3.91
8 Tb 0.4645 0.9999 0.5391  2 Tb 3.16-3.18, 4 Nd 3.46-3.54
9 Tb 0.4645 0.5391 0.9999  2 Tb 3.16-3.18, 4 Nd 3.46-3.54
10 Tb 0.7304 0.7696 0.7696  4 Tb 3.18, 4 Nd 3.53-3.54
11 Nd 0.4818 0.8466 0.1898  5 Tb 3.51-3.55, 5 Nd 3.55-3.91
12 Tb 0.9965 0.9999 0.5391  2 Tb 3.16-3.18, 4 Nd 3.46-3.54
13 Tb 0.9965 0.5391 0.9999  2 Tb 3.16-3.18, 4 Nd 3.46-3.54

Computed properties:
Final energy (eV/atom): -4.491
N(E_F) (states/eV per cell): 22.42
Calculated volume (Å³ per cell): 456
M_tot (μB per formula unit): 0.0
Symmetry: Imm2
Formation enthalpy at 0 K (meV per atom): 222